[1]
The following is a PBE-GGA calculation of Te2PPb after structural relaxation, from Alexandria.

- polymorph energy (0 for the lowest one) (meV per atom) = 11
- formation energy (no corrections) (kJ/mol of atoms) = 2

Geometry as CIF:
```
data_Te2PPb
_symmetry_space_group_name_H-M 'P 1 m 1'
_symmetry_Int_Tables_number 6
_cell_length_a 4.826
_cell_length_b 4.551
_cell_length_c 6.341
_cell_angle_alpha 90.00
_cell_angle_beta 112.23
_cell_angle_gamma 90.00
loop_
_symmetry_equiv_pos_as_xyz
'x,y,z'
'x,-y,z'
loop_
_atom_site_label
_atom_site_type_symbol
_atom_site_fract_x
_atom_site_fract_y
_atom_site_fract_z
Te1 Te 0.000 0.000 0.000
Te2 Te 0.264 0.500 0.555
P1 P 0.402 0.000 0.403
Pb1 Pb 0.619 0.500 0.117
```

[2]
The following is a PBE-GGA calculation of Th4Te2PPb after structural relaxation, from Alexandria.

- formation energy (no corrections) (kJ/mol of atoms) = -95

Geometry as CIF:
```
data_Th4Te2PPb
_symmetry_space_group_name_H-M 'P 1 2/m 1'
_symmetry_Int_Tables_number 10
_cell_length_a 7.675
_cell_length_b 4.362
_cell_length_c 7.813
_cell_angle_alpha 90.00
_cell_angle_beta 108.96
_cell_angle_gamma 90.00
loop_
_symmetry_equiv_pos_as_xyz
'x,y,z'
'-x,-y,-z'
'-x,y,-z'
'x,-y,z'
loop_
_atom_site_label
_atom_site_type_symbol
_atom_site_fract_x
_atom_site_fract_y
_atom_site_fract_z
Th1 Th 0.213 0.000 0.214
Th2 Th 0.225 0.500 0.773
Te1 Te 0.000 0.000 0.500
Te2 Te 0.500 0.500 0.500
P1 P 0.000 0.500 0.000
Pb1 Pb 0.500 0.000 0.000
```

[3]
The following is a PBE-GGA calculation of Tm6Te3P2Pb after structural relaxation, from Alexandria.

- formation energy (no corrections) (kJ/mol of atoms) = -122

Geometry as CIF:
```
data_Tm6Te3P2Pb
_symmetry_space_group_name_H-M 'C 1 2/m 1'
_symmetry_Int_Tables_number 12
_cell_length_a 18.452
_cell_length_b 4.140
_cell_length_c 8.557
_cell_angle_alpha 90.00
_cell_angle_beta 104.27
_cell_angle_gamma 90.00
loop_
_symmetry_equiv_pos_as_xyz
'x,y,z'
'-x,-y,-z'
'-x,y,-z'
'x,-y,z'
'x+1/2,y+1/2,z'
'-x+1/2,-y+1/2,-z'
'-x+1/2,y+1/2,-z'
'x+1/2,-y+1/2,z'
loop_
_atom_site_label
_atom_site_type_symbol
_atom_site_fract_x
_atom_site_fract_y
_atom_site_fract_z
Tm1 Tm 0.014 0.000 0.255
Tm2 Tm 0.169 0.500 0.121
Tm3 Tm 0.177 0.500 0.565
Te1 Te 0.000 0.500 0.500
Te2 Te 0.163 0.000 0.834
P1 P 0.169 0.000 0.341
Pb1 Pb 0.000 0.500 0.000
```

[4]
The following is a PBE-GGA calculation of Y4Te2PPb after structural relaxation, from Alexandria.

- formation energy (no corrections) (kJ/mol of atoms) = -119

Geometry as CIF:
```
data_Y4Te2PPb
_symmetry_space_group_name_H-M 'P 1 2/m 1'
_symmetry_Int_Tables_number 10
_cell_length_a 7.462
_cell_length_b 4.279
_cell_length_c 7.519
_cell_angle_alpha 90.00
_cell_angle_beta 109.05
_cell_angle_gamma 90.00
loop_
_symmetry_equiv_pos_as_xyz
'x,y,z'
'-x,-y,-z'
'-x,y,-z'
'x,-y,z'
loop_
_atom_site_label
_atom_site_type_symbol
_atom_site_fract_x
_atom_site_fract_y
_atom_site_fract_z
Y1 Y 0.227 0.000 0.220
Y2 Y 0.242 0.500 0.769
Te1 Te 0.000 0.000 0.500
Te2 Te 0.500 0.500 0.500
P1 P 0.000 0.500 0.000
Pb1 Pb 0.500 0.000 0.000
```

[5]
The following is a PBE-GGA calculation of ThPPb after structural relaxation, from Alexandria.

- energy of formation from the pure elements (kJ/mol of atoms) = -75

Geometry as CIF:
```
data_ThPPb
_symmetry_space_group_name_H-M 'P 4/n m m'
_symmetry_Int_Tables_number 129
_cell_length_a 4.237
_cell_length_b 4.237
_cell_length_c 8.836
_cell_angle_alpha 90.00
_cell_angle_beta 90.00
_cell_angle_gamma 90.00
loop_
_symmetry_equiv_pos_as_xyz
'x,y,z'
'-x,-y,-z'
'-y+1/2,x,z'
'y+1/2,-x,-z'
'-x+1/2,-y+1/2,z'
'x+1/2,y+1/2,-z'
'y,-x+1/2,z'
'-y,x+1/2,-z'
'x+1/2,-y,-z'
'-x+1/2,y,z'
'-y,-x,-z'
'y,x,z'
'-x,y+1/2,-z'
'x,-y+1/2,z'
'y+1/2,x+1/2,-z'
'-y+1/2,-x+1/2,z'
loop_
_atom_site_label
_atom_site_type_symbol
_atom_site_fract_x
_atom_site_fract_y
_atom_site_fract_z
Th1 Th 0.250 0.250 0.174
P1 P 0.250 0.250 0.854
Pb1 Pb 0.250 0.750 0.500
```

[6]
The following is a PBE-GGA calculation of Th2PPb after structural relaxation, from Alexandria.

- polymorph energy (0 for the lowest one) (meV per atom) = 21
- energy of formation from the pure elements (kJ/mol of atoms) = -80

Geometry as CIF:
```
data_Th2PPb
_symmetry_space_group_name_H-M 'R 3 m'
_symmetry_Int_Tables_number 160
_symmetry_space_group_name_Hall 'R 3 -2"'
_cell_length_a 4.0007
_cell_length_b 4.0007
_cell_length_c 25.2368
_cell_angle_alpha 90.00
_cell_angle_beta 90.00
_cell_angle_gamma 120.00
loop_
_atom_site_label
_atom_site_type_symbol
_atom_site_fract_x
_atom_site_fract_y
_atom_site_fract_z
Th1 Th 0.0000 0.0000 0.0000
Th2 Th 0.0000 0.0000 0.2008
P1 P 0.0000 0.0000 0.6001
Pb1 Pb 0.0000 0.0000 0.7675
```

[7]
The following is a PBE-GGA calculation of Th2PPb after structural relaxation, from Alexandria.

- polymorph energy (0 for the lowest one) (meV per atom) = 0
- energy of formation from the pure elements (kJ/mol of atoms) = -82

Geometry as CIF:
```
data_Th2PPb
_symmetry_space_group_name_H-M 'R -3 m'
_symmetry_Int_Tables_number 166
_symmetry_space_group_name_Hall '-R 3 2"'
_cell_length_a 4.0357
_cell_length_b 4.0357
_cell_length_c 24.7846
_cell_angle_alpha 90.00
_cell_angle_beta 90.00
_cell_angle_gamma 120.00
loop_
_atom_site_label
_atom_site_type_symbol
_atom_site_fract_x
_atom_site_fract_y
_atom_site_fract_z
Th1 Th 0.0000 0.0000 0.2329
P1 P 0.0000 0.0000 0.5000
Pb1 Pb 0.0000 0.0000 0.0000
```

[8]
The following is a PBE-GGA calculation of TiP2Pb after structural relaxation, from Alexandria.

- energy of formation from the pure elements (kJ/mol of atoms) = -37

Geometry as CIF:
```
data_TiP2Pb
_symmetry_space_group_name_H-M 'R -3 m'
_symmetry_Int_Tables_number 166
_symmetry_space_group_name_Hall '-R 3 2"'
_cell_length_a 3.7050
_cell_length_b 3.7050
_cell_length_c 20.4467
_cell_angle_alpha 90.00
_cell_angle_beta 90.00
_cell_angle_gamma 120.00
loop_
_atom_site_label
_atom_site_type_symbol
_atom_site_fract_x
_atom_site_fract_y
_atom_site_fract_z
Ti1 Ti 0.0000 0.0000 0.0000
P1 P 0.0000 0.0000 0.2655
Pb1 Pb 0.0000 0.0000 0.5000
```

[9]
The following is a PBE-GGA calculation of TiP3Pb after structural relaxation, from Alexandria.

- polymorph energy (0 for the lowest one) (meV per atom) = 1418
- energy of formation from the pure elements (kJ/mol of atoms) = 145

Geometry as CIF:
```
data_TiP3Pb
_symmetry_space_group_name_H-M 'P m -3 m'
_symmetry_Int_Tables_number 221
_symmetry_space_group_name_Hall '-P 4 2 3'
_cell_length_a 5.052
_cell_length_b 5.052
_cell_length_c 5.052
_cell_angle_alpha 90.00
_cell_angle_beta 90.00
_cell_angle_gamma 90.00
loop_
_atom_site_label
_atom_site_type_symbol
_atom_site_fract_x
_atom_site_fract_y
_atom_site_fract_z
Ti1 Ti 0.000 0.000 0.000
P1 P 0.000 0.500 0.500
Pb1 Pb 0.500 0.500 0.500
```

[10]
The following is a PBE-GGA calculation of TiP2Pb after structural relaxation, from Alexandria.

- energy of formation from the pure elements (kJ/mol of atoms) = -19

Geometry as CIF:
```
data_TiP2Pb
_symmetry_space_group_name_H-M 'I -4 2 d'
_symmetry_Int_Tables_number 122
_symmetry_space_group_name_Hall 'I -4 2bw'
_cell_length_a 6.075
_cell_length_b 6.075
_cell_length_c 11.681
_cell_angle_alpha 90.00
_cell_angle_beta 90.00
_cell_angle_gamma 90.00
loop_
_atom_site_label
_atom_site_type_symbol
_atom_site_fract_x
_atom_site_fract_y
_atom_site_fract_z
Ti1 Ti 0.000 0.000 0.000
P1 P 0.185 0.250 0.125
Pb1 Pb 0.000 0.000 0.500
```

[11]
The following is a PBE-GGA calculation of TiPPb3 after structural relaxation, from Alexandria.

- polymorph energy (0 for the lowest one) (meV per atom) = 171
- energy of formation from the pure elements (kJ/mol of atoms) = 85

Geometry as CIF:
```
data_TiPPb3
_symmetry_space_group_name_H-M 'P m -3 m'
_symmetry_Int_Tables_number 221
_symmetry_space_group_name_Hall '-P 4 2 3'
_cell_length_a 5.346
_cell_length_b 5.346
_cell_length_c 5.346
_cell_angle_alpha 90.00
_cell_angle_beta 90.00
_cell_angle_gamma 90.00
loop_
_atom_site_label
_atom_site_type_symbol
_atom_site_fract_x
_atom_site_fract_y
_atom_site_fract_z
Ti1 Ti 0.000 0.000 0.000
P1 P 0.500 0.500 0.500
Pb1 Pb 0.000 0.500 0.500
```

[12]
The following is a PBE-GGA calculation of TiPPb3 after structural relaxation, from Alexandria.

- polymorph energy (0 for the lowest one) (meV per atom) = 0
- energy of formation from the pure elements (kJ/mol of atoms) = 69

Geometry as CIF:
```
data_TiPPb3
_symmetry_space_group_name_H-M 'P m -3 m'
_symmetry_Int_Tables_number 221
_symmetry_space_group_name_Hall '-P 4 2 3'
_cell_length_a 5.395
_cell_length_b 5.395
_cell_length_c 5.395
_cell_angle_alpha 90.00
_cell_angle_beta 90.00
_cell_angle_gamma 90.00
loop_
_atom_site_label
_atom_site_type_symbol
_atom_site_fract_x
_atom_site_fract_y
_atom_site_fract_z
Ti1 Ti 0.000 0.000 0.000
P1 P 0.500 0.500 0.500
Pb1 Pb 0.000 0.000 0.500
```

no.,density of states at the Fermi level (states/eV/atom),size of the total moment (μB per formula unit)
1,0.257,0.000
2,0.659,0.000
3,0.421,0.000
4,0.255,0.000
5,0.519,0.000
6,0.821,0.000
7,0.744,0.000
8,0.354,0.000
9,1.263,0.000
10,0.179,0.000
11,2.085,0.000
12,0.809,0.000